The following is a DFT calculation (PBE) of an optimized crystal structure of Pu6VGe5.

The total DFT energy (no corrections) is -121.6 eV/cell. The value obtained for the magnetic moment is 12.6 μB per formula unit.

a b c (Å): 5.3767 6.0891 8.1312
angles (deg): 111.44 92.20 91.48
With the nearest neighbours (Å) after each atom.
Space group P-1 (No. 2)
One atom of each set of equivalent atoms:
1 Pu 0.0403 0.2364 0.4669  1 Pu 2.66, 1 V 2.86, 2 Ge 2.94-2.96
2 Pu 0.2694 0.0777 0.1641  1 Pu 2.66
3 Pu 0.2716 0.5850 0.1689  3 Pu 3.01-3.30, 7 Ge 3.02-3.12, 1 V 3.13
4 V 0.5000 0.5000 0.5000  4 Ge 2.75-3.04, 2 Pu 2.86
5 Ge 0.2283 0.1698 0.8181  3 Ge 2.88-3.19, 8 Pu 2.99-3.16
6 Ge 0.2430 0.6406 0.8043  1 V 2.75, 1 Ge 2.91, 3 Pu 2.96-3.05
7 Ge 0.5000 0.0000 0.5000  2 Ge 2.88, 6 Pu 2.94-3.15, 2 V 3.04

***

The following is a DFT calculation (PBE) of an optimized crystal structure of YPRh3.

Its excess energy over the best structure of this formula in the dataset is 2386 meV/atom. The total DFT energy (no corrections) is -26.5 eV/cell. The value obtained for the magnetic moment is 1.1 μB per formula unit.

a b c (Å): 4.8712 4.8712 4.8712
angles (deg): 90.00 90.00 90.00
With the nearest neighbours (Å) after each atom.
Space group Pm-3m (No. 221)
One atom of each set of equivalent atoms:
1 Y 0.0000 0.0000 0.0000  6 Rh 2.44
2 P 0.5000 0.5000 0.5000  12 Rh 3.44
3 Rh 0.0000 0.0000 0.5000  2 Y 2.44

***

The following is a DFT calculation (PBE) of an optimized crystal structure of Nb2NiAs.

The total DFT energy (no corrections) is -93.0 eV/cell. The value obtained for the magnetic moment is 0.0 μB per formula unit.

a b c (Å): 3.7118 3.7118 17.2064
angles (deg): 90.00 90.00 120.00
With the nearest neighbours (Å) after each atom.
Space group R-3m (No. 166, hexagonal axes)
One atom of each set of equivalent atoms:
1 Nb 0.0000 0.0000 0.2422  3 Ni 2.51, 3 As 2.65
2 Ni 0.0000 0.0000 0.5000  6 Nb 2.51
3 As 0.0000 0.0000 0.0000  6 Nb 2.65

***

The following is a DFT calculation (PBE) of an optimized crystal structure of ZrTe2Br.

Its excess energy over the best structure of this formula in the dataset is 0 meV/atom. Its formation energy without anion corrections is -2.96 eV/f.u. The total DFT energy (no corrections) is -38.9 eV/cell. The value obtained for the magnetic moment is 0.0 μB per formula unit.

a b c (Å): 10.4881 3.7999 7.8377
angles (deg): 90.00 112.91 90.00
With the nearest neighbours (Å) after each atom.
Space group Cm (No. 8)
One atom of each set of equivalent atoms:
1 Zr 0.0000 0.0000 0.0000  2 Br 2.79, 5 Te 2.90-3.08
2 Te 0.2797 0.0000 0.9561  3 Zr 2.91-3.08
3 Te 0.4791 0.0000 0.7103  2 Zr 2.90
4 Br 0.1446 0.5000 0.2666  2 Zr 2.79

***

The following is a DFT calculation (PBE) of an optimized crystal structure of NaCdI3.

Its excess energy over the best structure of this formula in the dataset is 81 meV/atom. Its formation energy without anion corrections is -3.82 eV/f.u. The total DFT energy (no corrections) is -21.4 eV/cell. The value obtained for the magnetic moment is 0.0 μB per formula unit.

a b c (Å): 4.3654 8.4650 15.2523
angles (deg): 90.00 90.00 90.00
With the nearest neighbours (Å) after each atom.
Space group Amm2 (No. 38)
One atom of each set of equivalent atoms:
1 Na 0.0000 0.0000 0.0000  4 I 3.00-3.13
2 Cd 0.5000 0.0000 0.6776  5 I 2.87-3.00
3 I 0.0000 0.2341 0.6423  2 Cd 3.00, 1 Na 3.13
4 I 0.5000 0.0000 0.8654  1 Cd 2.87, 2 Na 3.00

***

The following is a DFT calculation (PBE) of an optimized crystal structure of CeDyRh2.

The total DFT energy (no corrections) is -57.0 eV/cell. The value obtained for the magnetic moment is 0.0 μB per formula unit.

a b c (Å): 4.2490 3.7857 10.6163
angles (deg): 90.00 90.00 90.00
With the nearest neighbours (Å) after each atom.
Space group Amm2 (No. 38)
One atom of each set of equivalent atoms:
1 Ce 0.0000 0.0000 0.0000  5 Rh 2.78-2.90
2 Dy 0.5000 0.0000 0.7206  7 Rh 2.88-3.07
3 Rh 0.0000 0.0000 0.2617  1 Ce 2.78, 4 Dy 2.88, 2 Rh 2.91
4 Rh 0.5000 0.0000 0.4488  3 Dy 2.89-3.07, 4 Ce 2.90, 2 Rh 2.91

***

The following is a DFT calculation (PBE) of an optimized crystal structure of SrLiH2.

Its excess energy over the best structure of this formula in the dataset is 241 meV/atom. The total DFT energy (no corrections) is -43.4 eV/cell. The value obtained for the magnetic moment is 0.0 μB per formula unit.

a b c (Å): 6.1593 6.1593 6.1593
angles (deg): 90.00 90.00 90.00
With the nearest neighbours (Å) after each atom.
Space group Fm-3m (No. 225)
One atom of each set of equivalent atoms:
1 Sr 0.0000 0.0000 0.0000  8 H 2.67
2 Li 0.0000 0.0000 0.5000  8 H 2.67
3 H 0.2500 0.2500 0.2500  4 Li 2.67, 4 Sr 2.67

***

The following is a DFT calculation (PBE) of an optimized crystal structure of LaAlBi3.

Its excess energy over the best structure of this formula in the dataset is 604 meV/atom. The total DFT energy (no corrections) is -17.2 eV/cell. The value obtained for the magnetic moment is 0.0 μB per formula unit.

a b c (Å): 6.1534 6.1534 6.1534
angles (deg): 90.00 90.00 90.00
With the nearest neighbours (Å) after each atom.
Space group Pm-3m (No. 221)
One atom of each set of equivalent atoms:
1 La 0.0000 0.0000 0.0000  6 Bi 3.08
2 Al 0.5000 0.5000 0.5000  12 Bi 4.35
3 Bi 0.0000 0.0000 0.5000  2 La 3.08

***

The following is a DFT calculation (PBE) of an optimized crystal structure of Tm2ScPd3.

Its excess energy over the best structure of this formula in the dataset is 0 meV/atom. The total DFT energy (no corrections) is -72.8 eV/cell. The value obtained for the magnetic moment is 0.0 μB per formula unit.

a b c (Å): 4.8644 14.6322 3.3473
angles (deg): 90.00 90.00 90.00
With the nearest neighbours (Å) after each atom.
Space group Cmmm (No. 65)
One atom of each set of equivalent atoms:
1 Tm 0.0000 0.1655 0.0000  8 Pd 2.94-3.07
2 Sc 0.0000 0.5000 0.0000  8 Pd 2.86-2.95
3 Pd 0.0000 0.0000 0.5000  4 Tm 2.94, 4 Sc 2.95
4 Pd 0.0000 0.3415 0.5000  2 Sc 2.86, 6 Tm 2.95-3.07

***

The following is a DFT calculation (PBE) of an optimized crystal structure of Li2TeBrO.

Its formation energy without anion corrections is -3.77 eV/f.u. The total DFT energy (no corrections) is -17.4 eV/cell. The value obtained for the magnetic moment is 0.3 μB per formula unit.

a b c (Å): 5.4282 5.4282 4.1086
angles (deg): 90.00 90.00 90.00
With the nearest neighbours (Å) after each atom.
Space group P4/mmm (No. 123)
One atom of each set of equivalent atoms:
1 Li 0.0000 0.5000 0.0000  2 Te 2.71
2 Te 0.0000 0.0000 0.0000  2 O 2.05
3 Br 0.5000 0.5000 0.5000  8 Li 3.40
4 O 0.0000 0.0000 0.5000  2 Te 2.05

***

The following is a DFT calculation (PBE) of an optimized crystal structure of V12Ge7Mo.

The total DFT energy (no corrections) is -454.6 eV/cell. The value obtained for the magnetic moment is 0.0 μB per formula unit.

a b c (Å): 9.7548 9.7548 11.0364
angles (deg): 90.00 90.00 120.00
With the nearest neighbours (Å) after each atom.
Space group R-3 (No. 148, hexagonal axes)
One atom of each set of equivalent atoms:
1 V 0.0206 0.5743 0.2021  5 V 2.53-2.82, 4 Ge 2.58-2.82, 1 Mo 2.74
2 V 0.0637 0.2535 0.9098  3 Ge 2.44-2.66, 4 V 2.49-2.62
3 Ge 0.0000 0.0000 0.0000  6 V 2.44
4 Ge 0.0142 0.8136 0.3149  7 V 2.58-2.82, 1 Mo 2.78, 1 Ge 2.83
5 Mo 0.0000 0.0000 0.5000  6 V 2.74, 6 Ge 2.78

***

The following is a DFT calculation (PBE) of an optimized crystal structure of CePuPb2O8.

Its formation energy without anion corrections is -24.58 eV/f.u. The total DFT energy (no corrections) is -183.9 eV/cell. The value obtained for the magnetic moment is 1.1 μB per formula unit.

a b c (Å): 7.3562 7.5186 7.1671
angles (deg): 90.00 90.00 90.00
With the nearest neighbours (Å) after each atom.
Space group Cmmm (No. 65)
One atom of each set of equivalent atoms:
1 Ce 0.0000 0.0000 0.0000  6 O 2.15-2.38
2 Pu 0.0000 0.0000 0.5000  6 O 1.96-2.06
3 Pb 0.0000 0.5000 0.2488  6 O 2.35-2.49
4 O 0.0000 0.1740 0.2772  1 Pu 2.06
5 O 0.2073 0.5000 0.0000  1 Ce 2.15, 2 Pb 2.35
6 O 0.2333 0.5000 0.5000  1 Pu 1.96

***

no.,density of states at the Fermi level (states/eV/atom)
1,2.732
2,1.156
3,1.013
4,0.636
5,0.000
6,0.985
7,0.254
8,1.010
9,0.452
10,0.616
11,0.845
12,0.222